[1]
A plane-wave DFT calculation with GGA-PBE was carried out for crystalline TbPu3Tl2O12 at its relaxed geometry.

Unit cell a=7.861 b=7.861 c=7.861 alpha=61.55 beta=61.55 gamma=61.55
Sites, in units of the cell vectors:
1 Tb 0.000 0.000 0.000
2 Pu 0.000 0.000 0.500
3 Pu 0.000 0.500 0.000
4 Pu 0.500 0.000 0.000
5 Tl 0.320 0.320 0.320
6 Tl 0.680 0.680 0.680
7 O 0.050 0.693 0.693
8 O 0.068 0.068 0.662
9 O 0.068 0.662 0.068
10 O 0.307 0.307 0.950
11 O 0.307 0.950 0.307
12 O 0.338 0.932 0.932
13 O 0.662 0.068 0.068
14 O 0.693 0.050 0.693
15 O 0.693 0.693 0.050
16 O 0.932 0.338 0.932
17 O 0.932 0.932 0.338
18 O 0.950 0.307 0.307

Computed properties:
The space-group type is R-3m. Its density of states at the Fermi level is 7.71 states/eV per cell. The calculation puts the uncorrected energy at -153.7 eV/cell. The value obtained for the formation energy without anion corrections is -2324 meV per atom.


[2]
A plane-wave DFT calculation with GGA-PBE was carried out for crystalline Ac4TlAu at its relaxed geometry.

Unit cell a=7.955 b=8.330 c=7.605 alpha=90.00 beta=95.67 gamma=90.00
Sites, in units of the cell vectors:
1 Ac 0.152 0.162 0.174
2 Ac 0.152 0.338 0.674
3 Ac 0.340 0.651 0.107
4 Ac 0.340 0.849 0.607
5 Ac 0.660 0.151 0.393
6 Ac 0.660 0.349 0.893
7 Ac 0.848 0.662 0.326
8 Ac 0.848 0.838 0.826
9 Tl 0.500 0.000 0.000
10 Tl 0.500 0.500 0.500
11 Au 0.000 0.000 0.500
12 Au 0.000 0.500 0.000

Computed properties:
The calculation puts the polymorph energy (0 for the lowest one) at 0.108 eV per atom. The space-group type is P2_1/c. Its density of states at the Fermi level is 16.26 states/eV per cell. Its formation energy is -0.2447 eV/atom. The calculation puts the uncorrected energy at -47.1 eV/cell.


[3]
A plane-wave DFT calculation with GGA-PBE was carried out for crystalline AlP2SI at its relaxed geometry.

Unit cell a=5.181 b=5.181 c=5.055 alpha=90.00 beta=90.00 gamma=90.00
Sites, in units of the cell vectors:
1 Al 0.000 0.000 0.000
2 P 0.000 0.500 0.500
3 P 0.500 0.000 0.500
4 S 0.500 0.500 0.000
5 I 0.500 0.500 0.500

Computed properties:
The calculation puts the polymorph energy (0 for the lowest one) at 0.821 eV per atom. The space-group type is P4/mmm. Its density of states at the Fermi level is 6.16 states/eV per cell. The calculation puts the uncorrected energy at -13.4 eV/cell. The value obtained for the formation energy without anion corrections is 1361 meV per atom.


[4]
A plane-wave DFT calculation with GGA-PBE was carried out for crystalline GeSb2HBr at its relaxed geometry.

Unit cell a=5.409 b=5.409 c=5.635 alpha=90.00 beta=90.00 gamma=90.00
Sites, in units of the cell vectors:
1 Ge 0.000 0.000 0.000
2 Sb 0.000 0.500 0.000
3 Sb 0.500 0.000 0.000
4 H 0.500 0.500 0.500
5 Br 0.000 0.000 0.500

Computed properties:
The space-group type is P4/mmm. Its density of states at the Fermi level is 4.48 states/eV per cell. The calculation puts the uncorrected energy at -13.4 eV/cell.


[5]
A plane-wave DFT calculation with GGA-PBE was carried out for crystalline CrAg2Pt at its relaxed geometry.

Unit cell a=4.966 b=4.966 c=2.941 alpha=90.00 beta=90.00 gamma=111.98
Sites, in units of the cell vectors:
1 Cr 0.000 0.000 0.000
2 Ag 0.000 0.500 0.500
3 Ag 0.500 0.000 0.500
4 Pt 0.500 0.500 0.000

Computed properties:
The calculation puts the polymorph energy (0 for the lowest one) at 0.141 eV per atom. The space-group type is Cmmm. Its density of states at the Fermi level is 3.12 states/eV per cell. Its formation energy is 0.2342 eV/atom. The calculation puts the uncorrected energy at -20.4 eV/cell.


[6]
A plane-wave DFT calculation with GGA-PBE was carried out for crystalline TlBiAs2 at its relaxed geometry.

Unit cell a=7.829 b=7.829 c=7.829 alpha=30.45 beta=30.45 gamma=30.45
Sites, in units of the cell vectors:
1 Tl 0.000 0.000 0.000
2 Bi 0.831 0.831 0.831
3 As 0.247 0.247 0.247
4 As 0.419 0.419 0.419

Computed properties:
The calculation puts the polymorph energy (0 for the lowest one) at 0.036 eV per atom. The space-group type is R3m. Its density of states at the Fermi level is 3.10 states/eV per cell. Its formation energy is 0.1545 eV/atom. The calculation puts the uncorrected energy at -14.9 eV/cell.


[7]
A plane-wave DFT calculation with GGA-PBE was carried out for crystalline Ho4ZnSe2 at its relaxed geometry.

Unit cell a=6.799 b=6.799 c=13.823 alpha=90.00 beta=90.00 gamma=145.74
Sites, in units of the cell vectors:
1 Ho 0.000 0.000 0.000
2 Ho 0.000 0.000 0.500
3 Ho 0.277 0.723 0.626
4 Ho 0.277 0.723 0.874
5 Ho 0.445 0.555 0.250
6 Ho 0.555 0.445 0.750
7 Ho 0.723 0.277 0.126
8 Ho 0.723 0.277 0.374
9 Zn 0.111 0.889 0.250
10 Zn 0.889 0.111 0.750
11 Se 0.362 0.638 0.061
12 Se 0.362 0.638 0.439
13 Se 0.638 0.362 0.561
14 Se 0.638 0.362 0.939

Computed properties:
The space-group type is Cmcm. Its density of states at the Fermi level is 10.01 states/eV per cell. The calculation puts the uncorrected energy at -68.0 eV/cell. The value obtained for the formation energy without anion corrections is -1063 meV per atom.


[8]
A plane-wave DFT calculation with GGA-PBE was carried out for crystalline KGaAgAu2 at its relaxed geometry.

Unit cell a=5.045 b=5.045 c=5.105 alpha=90.00 beta=90.00 gamma=90.00
Sites, in units of the cell vectors:
1 K 0.000 0.000 0.000
2 Ga 0.500 0.500 0.500
3 Ag 0.500 0.500 0.000
4 Au 0.000 0.500 0.500
5 Au 0.500 0.000 0.500

Computed properties:
The calculation puts the polymorph energy (0 for the lowest one) at 0.060 eV per atom. The space-group type is P4/mmm. Its density of states at the Fermi level is 0.90 states/eV per cell. Its formation energy is -0.0986 eV/atom. The calculation puts the uncorrected energy at -14.0 eV/cell.


[9]
A plane-wave DFT calculation with GGA-PBE was carried out for crystalline LiZn3Ge at its relaxed geometry.

Unit cell a=4.484 b=4.484 c=4.484 alpha=90.00 beta=90.00 gamma=90.00
Sites, in units of the cell vectors:
1 Li 0.000 0.000 0.000
2 Zn 0.000 0.000 0.500
3 Zn 0.000 0.500 0.000
4 Zn 0.500 0.000 0.000
5 Ge 0.500 0.500 0.500

Computed properties:
The calculation puts the polymorph energy (0 for the lowest one) at 0.122 eV per atom. The space-group type is Pm-3m. Its density of states at the Fermi level is 1.75 states/eV per cell. Its formation energy is 0.4879 eV/atom. The calculation puts the uncorrected energy at -7.9 eV/cell.


[10]
A plane-wave DFT calculation with GGA-PBE was carried out for crystalline Sc4S3O at its relaxed geometry.

Unit cell a=5.051 b=8.629 c=7.063 alpha=90.00 beta=90.00 gamma=90.00
Sites, in units of the cell vectors:
1 Sc 0.250 0.029 0.225
2 Sc 0.250 0.250 0.643
3 Sc 0.250 0.471 0.225
4 Sc 0.250 0.750 0.642
5 Sc 0.750 0.250 0.358
6 Sc 0.750 0.529 0.775
7 Sc 0.750 0.750 0.357
8 Sc 0.750 0.971 0.775
9 S 0.250 0.511 0.851
10 S 0.250 0.750 0.290
11 S 0.250 0.989 0.851
12 S 0.750 0.011 0.149
13 S 0.750 0.250 0.710
14 S 0.750 0.489 0.149
15 O 0.250 0.250 0.345
16 O 0.750 0.750 0.655

Computed properties:
The space-group type is Pmmn. Its density of states at the Fermi level is 9.59 states/eV per cell. The calculation puts the uncorrected energy at -116.2 eV/cell. The value obtained for the formation energy without anion corrections is -1930 meV per atom.